The following is a DFT calculation (PBE) of CsPuHg4Bi2 after structural relaxation.

Cell: 4.364 4.364 14.540 Å, 90.00 90.00 90.00°
Positions (direct):
1 Cs 0.000 0.000 0.000
2 Pu 0.000 0.000 0.500
3 Hg 0.000 0.500 0.215
4 Hg 0.000 0.500 0.785
5 Hg 0.500 0.000 0.215
6 Hg 0.500 0.000 0.785
7 Bi 0.500 0.500 0.395
8 Bi 0.500 0.500 0.605

Summary:
- electronic total energy (eV per atom) = -3.151
- SG = No. 123
- DOS at the Fermi energy (states/eV/atom) = 2.0992
- magnetic moment (μB per atom) = 0.69

---

The following is a DFT calculation (PBE) of HoPaRuAu after structural relaxation.

Cell: 4.962 4.962 4.962 Å, 60.00 60.00 60.00°
Positions (direct):
1 Ho 0.000 0.000 0.000
2 Pa 0.500 0.500 0.500
3 Ru 0.250 0.250 0.250
4 Au 0.750 0.750 0.750

Summary:
- electronic total energy (eV per atom) = -7.034
- SG = No. 216
- DOS at the Fermi energy (states/eV/atom) = 1.3881
- magnetic moment (μB per atom) = 0.00

---

The following is a DFT calculation (PBE) of Tm4BiSbTe2 after structural relaxation.

Cell: 7.500 4.357 7.553 Å, 90.00 109.66 90.00°
Positions (direct):
1 Tm 0.241 0.000 0.241
2 Tm 0.246 0.500 0.755
3 Tm 0.754 0.500 0.245
4 Tm 0.759 0.000 0.759
5 Bi 0.000 0.000 0.500
6 Sb 0.000 0.500 0.000
7 Te 0.500 0.000 0.000
8 Te 0.500 0.500 0.500

Summary:
- electronic total energy (eV per atom) = -5.101
- formation energy (no corrections) (meV per atom) = -1080
- SG = No. 10
- DOS at the Fermi energy (states/eV/atom) = 0.4670
- magnetic moment (μB per atom) = 0.00

---

The following is a DFT calculation (PBE) of Hg2TeRh after structural relaxation.

Cell: 3.440 4.828 5.141 Å, 90.00 90.00 90.00°
Positions (direct):
1 Hg 0.000 0.000 0.000
2 Hg 0.500 0.500 0.000
3 Te 0.000 0.500 0.500
4 Rh 0.500 0.000 0.500

Summary:
- electronic total energy (eV per atom) = -2.478
- E above lowest polymorph (meV/atom) = 383
- formation energy (no corrections) (meV per atom) = 297
- SG = No. 47
- DOS at the Fermi energy (states/eV/atom) = 0.6605
- magnetic moment (μB per atom) = 0.00

---

The following is a DFT calculation (PBE) of BaHgPb2Se4 after structural relaxation.

Cell: 7.710 7.710 15.353 Å, 90.00 90.00 146.63°
Positions (direct):
1 Ba 0.124 0.876 0.750
2 Ba 0.876 0.124 0.250
3 Hg 0.150 0.850 0.250
4 Hg 0.850 0.150 0.750
5 Pb 0.371 0.629 0.551
6 Pb 0.371 0.629 0.949
7 Pb 0.629 0.371 0.051
8 Pb 0.629 0.371 0.449
9 Se 0.000 0.000 0.000
10 Se 0.000 0.000 0.500
11 Se 0.273 0.727 0.119
12 Se 0.273 0.727 0.381
13 Se 0.455 0.545 0.750
14 Se 0.545 0.455 0.250
15 Se 0.727 0.273 0.619
16 Se 0.727 0.273 0.881

Summary:
- electronic total energy (eV per atom) = -3.742
- formation energy (no corrections) (meV per atom) = -794
- SG = No. 63
- magnetic moment (μB per atom) = 0.00

---

The following is a DFT calculation (PBE) of Be2Nb2S after structural relaxation.

Cell: 5.900 5.900 5.900 Å, 141.44 141.44 55.68°
Positions (direct):
1 Be 0.099 0.099 0.000
2 Be 0.901 0.901 0.000
3 Nb 0.250 0.750 0.500
4 Nb 0.750 0.250 0.500
5 S 0.500 0.500 0.000

Summary:
- electronic total energy (eV per atom) = -5.536
- E above lowest polymorph (meV/atom) = 773
- formation energy (no corrections) (meV per atom) = 808
- SG = No. 139
- DOS at the Fermi energy (states/eV/atom) = 0.7692
- magnetic moment (μB per atom) = 0.00

---

The following is a DFT calculation (PBE) of Ac2BiAs3 after structural relaxation.

Cell: 10.034 10.034 10.034 Å, 154.38 37.03 153.73°
Positions (direct):
1 Ac 0.165 0.000 0.165
2 Ac 0.835 0.000 0.835
3 Bi 0.571 0.071 0.500
4 As 0.341 0.007 0.334
5 As 0.672 0.007 0.666
6 As 0.973 0.973 0.000

Summary:
- electronic total energy (eV per atom) = -5.299
- SG = No. 44
- DOS at the Fermi energy (states/eV/atom) = 0.0177
- magnetic moment (μB per atom) = 0.00

---

The following is a DFT calculation (PBE) of CaMg2Rh2 after structural relaxation.

Cell: 7.607 7.607 3.167 Å, 90.00 90.00 90.00°
Positions (direct):
1 Ca 0.000 0.000 0.000
2 Ca 0.500 0.500 0.000
3 Mg 0.141 0.359 0.500
4 Mg 0.359 0.859 0.500
5 Mg 0.641 0.141 0.500
6 Mg 0.859 0.641 0.500
7 Rh 0.152 0.652 0.000
8 Rh 0.348 0.152 0.000
9 Rh 0.652 0.848 0.000
10 Rh 0.848 0.348 0.000

Summary:
- electronic total energy (eV per atom) = -4.387
- E above lowest polymorph (meV/atom) = 0
- SG = No. 127
- DOS at the Fermi energy (states/eV/atom) = 0.3162
- magnetic moment (μB per atom) = 0.00